[1]
The following is a DFT calculation (GGA-PBEsol) of a relaxed structure of ZrMnSi.

Cell and atoms, written as CIF:
```
data_ZrMnSi
_cell_length_a 6.527
_cell_length_b 3.644
_cell_length_c 7.544
_cell_angle_alpha 90.00
_cell_angle_beta 90.00
_cell_angle_gamma 90.00
_space_group_name_H-M_alt 'P n m a'
_space_group_IT_number 62
loop_
_space_group_symop_operation_xyz
'x,y,z'
'-x,-y,-z'
'-x+1/2,-y,z+1/2'
'x+1/2,y,-z+1/2'
'x+1/2,-y+1/2,-z+1/2'
'-x+1/2,y+1/2,z+1/2'
'-x,y+1/2,-z'
'x,-y+1/2,z'
loop_
_atom_site_label
_atom_site_fract_x
_atom_site_fract_y
_atom_site_fract_z
Zr1 0.025 0.250 0.181
Mn1 0.140 0.250 0.566
Si1 0.224 0.750 0.380
```

- Energy relative to the elements, uncorrected: -0.719 eV per atom
- Calculated volume: 15.0 A^3/atom
- Magnetic moment: 5.949 μB/cell
- DOS(E_F): 0.699 states/eV per atom
- Density: 6.45 g/cm3


[2]
The following is a DFT calculation (GGA-PBEsol) of a relaxed structure of Cd2HPdF.

Cell and atoms, written as CIF:
```
data_Cd2HPdF
_cell_length_a 5.030
_cell_length_b 5.030
_cell_length_c 2.770
_cell_angle_alpha 90.00
_cell_angle_beta 90.00
_cell_angle_gamma 90.00
_space_group_name_H-M_alt 'P 4/m m m'
_space_group_IT_number 123
_space_group_name_Hall '-P 4 2'
loop_
_atom_site_label
_atom_site_fract_x
_atom_site_fract_y
_atom_site_fract_z
Cd1 0.000 0.500 0.000
H1 0.000 0.000 0.000
Pd1 0.500 0.500 0.500
F1 0.000 0.000 0.500
```

- E: -3.08 eV per atom
- Calculated volume: 14.0 A^3/atom
- Magnetic moment: 0.000 μB/cell
- DOS(E_F): 0.226 states/eV per atom
- Density: 8.32 g/cm3


[3]
The following is a DFT calculation (GGA-PBEsol) of a relaxed structure of MnZn2RhI.

Cell and atoms, written as CIF:
```
data_MnZn2RhI
_cell_length_a 4.744
_cell_length_b 4.744
_cell_length_c 4.383
_cell_angle_alpha 90.00
_cell_angle_beta 90.00
_cell_angle_gamma 90.00
_space_group_name_H-M_alt 'P 4/m m m'
_space_group_IT_number 123
_space_group_name_Hall '-P 4 2'
loop_
_atom_site_label
_atom_site_fract_x
_atom_site_fract_y
_atom_site_fract_z
Mn1 0.000 0.000 0.000
Zn1 0.000 0.500 0.000
Rh1 0.000 0.000 0.500
I1 0.500 0.500 0.500
```

- Energy relative to the elements, uncorrected: 0.798 eV per atom
- Calculated volume: 19.7 A^3/atom
- Magnetic moment: 1.907 μB/cell
- DOS(E_F): 0.701 states/eV per atom
- Density: 6.99 g/cm3


[4]
The following is a DFT calculation (GGA-PBEsol) of a relaxed structure of NdCo2As2.

Cell and atoms, written as CIF:
```
data_NdCo2As2
_cell_length_a 3.987
_cell_length_b 3.987
_cell_length_c 10.063
_cell_angle_alpha 90.00
_cell_angle_beta 90.00
_cell_angle_gamma 90.00
_space_group_name_H-M_alt 'I 4/m m m'
_space_group_IT_number 139
_space_group_name_Hall '-I 4 2'
loop_
_atom_site_label
_atom_site_fract_x
_atom_site_fract_y
_atom_site_fract_z
Nd1 0.000 0.000 0.000
Co1 0.000 0.500 0.250
As1 0.000 0.000 0.366
```

- E: -6.95 eV per atom
- Calculated volume: 16.0 A^3/atom
- Magnetic moment: 3.087 μB/cell
- DOS(E_F): 0.454 states/eV per atom
- Density: 8.55 g/cm3


> What is the density in the fourth record?

8.55 g/cm3


> Which of these has the lowest calculated volume?

Cd2HPdF